Entry A
The following is a DFT calculation (PBE+U) of a geometry-optimized Ni2NO structure.

Results
* density: 5.332 g/cm³
* magnetic moment: 7.6 μB per cell

a = 5.6690 Å, b = 5.6690 Å, c = 5.6690 Å
α = 134.31°, β = 134.31°, γ = 66.60°
Closest atoms and distances in Å follow each position.
Atoms (fractional coordinates):
1 Ni 0.1161 0.6250 0.9911  2 N 1.93, 2 O 1.98
2 Ni 0.3750 0.3661 0.4911  2 N 1.93, 2 O 1.98
3 Ni 0.6339 0.1250 0.0089  2 N 1.93, 2 O 1.98
4 Ni 0.8750 0.8839 0.5089  2 N 1.93, 2 O 1.98
5 N 0.0000 0.0000 0.0000  4 Ni 1.93
6 N 0.7500 0.2500 0.5000  4 Ni 1.93
7 O 0.2500 0.7500 0.5000  4 Ni 1.98
8 O 0.5000 0.5000 0.0000  4 Ni 1.98

Entry B
The following is a DFT calculation (PBE+U) of a geometry-optimized Ni2NO structure.

Results
* density: 7.561 g/cm³
* magnetic moment: 0.0 μB per cell

a = 3.5773 Å, b = 3.5773 Å, c = 3.5773 Å
α = 60.00°, β = 60.00°, γ = 60.00°
Closest atoms and distances in Å follow each position.
Atoms (fractional coordinates):
1 Ni 0.2500 0.2500 0.2500  4 O 2.19, 4 N 2.19
2 Ni 0.7500 0.7500 0.7500  4 O 2.19, 4 N 2.19
3 N 0.0000 0.0000 0.0000  8 Ni 2.19
4 O 0.5000 0.5000 0.5000  8 Ni 2.19

Of them, entry B has the lowest stability.

Entry A
The following is a DFT calculation (PBE+U) of a geometry-optimized NiP2NO structure.

Results
* density: 4.564 g/cm³
* magnetic moment: 0.0 μB per cell

a = 3.9317 Å, b = 3.9317 Å, c = 3.5459 Å
α = 90.00°, β = 90.00°, γ = 90.00°
Closest atoms and distances in Å follow each position.
Atoms (fractional coordinates):
1 Ni 0.0000 0.0000 0.0000  8 P 2.65, 4 O 2.78
2 P 0.0000 0.5000 0.5000  2 N 1.97
3 P 0.5000 0.0000 0.5000  2 N 1.97
4 N 0.5000 0.5000 0.5000  2 O 1.77, 4 P 1.97
5 O 0.5000 0.5000 0.0000  2 N 1.77

Entry B
The following is a DFT calculation (PBE+U) of a geometry-optimized NiP2NO structure.

Results
* density: 3.832 g/cm³
* magnetic moment: 0.0 μB per cell

a = 4.3759 Å, b = 4.3759 Å, c = 3.4088 Å
α = 90.00°, β = 90.00°, γ = 90.00°
Closest atoms and distances in Å follow each position.
Atoms (fractional coordinates):
1 Ni 0.0000 0.0000 0.0000  2 O 1.70
2 P 0.0000 0.5000 0.0000  2 Ni 2.19
3 P 0.5000 0.0000 0.0000  2 Ni 2.19
4 N 0.5000 0.5000 0.5000  8 P 2.77, 4 O 3.09
5 O 0.0000 0.0000 0.5000  2 Ni 1.70

Of them, entry B has the lowest stability.

Entry A
The following is a DFT calculation (PBE+U) of a geometry-optimized NiS2NO structure.

Results
* density: 3.938 g/cm³
* magnetic moment: 2.4 μB per cell

a = 4.1066 Å, b = 4.1066 Å, c = 3.8215 Å
α = 90.00°, β = 90.00°, γ = 90.00°
Closest atoms and distances in Å follow each position.
Atoms (fractional coordinates):
1 Ni 0.0000 0.0000 0.0000  8 S 2.80, 4 N 2.90
2 S 0.0000 0.5000 0.5000  2 O 2.05
3 S 0.5000 0.0000 0.5000  2 O 2.05
4 N 0.5000 0.5000 0.0000  2 O 1.91
5 O 0.5000 0.5000 0.5000  2 N 1.91, 4 S 2.05

Entry B
The following is a DFT calculation (PBE+U) of a geometry-optimized NiS2NO structure.

Results
* density: 3.570 g/cm³
* magnetic moment: 2.3 μB per cell

a = 4.5838 Å, b = 4.5838 Å, c = 3.3832 Å
α = 90.00°, β = 90.00°, γ = 90.00°
Closest atoms and distances in Å follow each position.
Atoms (fractional coordinates):
1 Ni 0.0000 0.0000 0.0000  2 N 1.69
2 S 0.0000 0.5000 0.0000  2 Ni 2.29
3 S 0.5000 0.0000 0.0000  2 Ni 2.29
4 N 0.0000 0.0000 0.5000  2 Ni 1.69
5 O 0.5000 0.5000 0.5000  8 S 2.85

Of them, entry A has the lowest stability.